(1)
SbIrWI2 | GGA-PBEsol | optimized geometry

a b c (Å): 5.3342 5.3342 4.9880
angles (deg): 90.00 90.00 90.00
Closest atoms and distances in Å follow each position.
Space group P4/mmm (No. 123)
Unique sites:
Sb 0.0000 0.0000 0.0000 [1 per cell]  2 Ir 2.49
Ir 0.0000 0.0000 0.5000 [1 per cell]  2 Sb 2.49, 4 I 2.67
W 0.5000 0.5000 0.0000 [1 per cell]  8 I 3.65, 4 Sb 3.77
I 0.0000 0.5000 0.5000 [2 per cell]  2 Ir 2.67

Values from the calculation:
DFT total energy = -4.720 eV per atom
Crystal system = tetragonal
Formation energy from raw total energies = 8.12 eV/f.u.
M_tot = 3.9 μB per formula unit
D(E_F) = 5.327 states/eV per cell

(2)
ZnSbIrI2 | GGA-PBEsol | optimized geometry

a b c (Å): 5.1615 5.1615 5.1399
angles (deg): 90.00 90.00 90.00
Closest atoms and distances in Å follow each position.
Space group P4/mmm (No. 123)
Unique sites:
Zn 0.0000 0.0000 0.0000 [1 per cell]  2 Sb 2.57, 4 I 2.58
Sb 0.0000 0.0000 0.5000 [1 per cell]  2 Zn 2.57
Ir 0.5000 0.5000 0.5000 [1 per cell]  8 I 3.64, 4 Sb 3.65
I 0.0000 0.5000 0.0000 [2 per cell]  2 Zn 2.58

Values from the calculation:
DFT total energy = -2.555 eV per atom
Crystal system = tetragonal
Formation energy from raw total energies = 6.72 eV/f.u.
M_tot = 1.7 μB per formula unit
D(E_F) = 6.050 states/eV per cell

(3)
ScIrI3 | GGA-PBEsol | optimized geometry

a b c (Å): 5.5555 5.5555 5.5555
angles (deg): 90.00 90.00 90.00
Closest atoms and distances in Å follow each position.
Space group Pm-3m (No. 221)
Unique sites:
Sc 0.0000 0.0000 0.0000 [1 per cell]  6 I 2.78
Ir 0.5000 0.5000 0.5000 [1 per cell]  12 I 3.93
I 0.0000 0.0000 0.5000 [3 per cell]  2 Sc 2.78

Values from the calculation:
DFT total energy = -3.694 eV per atom
Crystal system = cubic
Formation energy from raw total energies = 3.26 eV/f.u.
M_tot = 3.0 μB per formula unit
D(E_F) = 6.471 states/eV per cell

> What is the D(E_F) in the first record?

5.327 states/eV per cell